# LiSn5

A relaxed structure of LiSn5 (GGA-PBE, Alexandria).

Cell: 5.688 10.111 6.104 Å, 90.00 115.90 90.00°
Space group P2_1/m (No. 11)
Asymmetric unit:
Li  0.163  0.250  0.427 x2
Sn  0.154  0.088  0.894 x4
Sn  0.331  0.750  0.078 x2
Sn  0.354  0.596  0.601 x4

Summary:
* energy above the lowest structure with this stoichiometry: 0.0078 eV/atom
* DFT formation energy: -0.06 eV/atom
* calculated density: 6.32 g/cm³
* magnetic moment: 0.000 μB per atom
* VASP energy: -3.712 eV per atom

=====

# ZrMn2Re

A relaxed structure of ZrMn2Re (GGA-PBE, Alexandria).

Cell: 2.969 2.969 6.949 Å, 90.00 90.00 90.00°
Space group P4mm (No. 99)
Asymmetric unit:
Zr  0.000  0.000  0.000 x1
Mn  0.000  0.000  0.503 x1
Mn  0.500  0.500  0.284 x1
Re  0.500  0.500  0.694 x1

Summary:
* energy above the lowest structure with this stoichiometry: 0.0418 eV/atom
* DFT formation energy: 0.08 eV/atom
* calculated density: 10.50 g/cm³
* magnetic moment: 0.772 μB per atom
* VASP energy: -9.752 eV per atom

=====

# Pa2CoTe4

A relaxed structure of Pa2CoTe4 (GGA-PBE, Alexandria).

Cell: 14.760 8.072 3.803 Å, 90.00 90.13 90.00°
Space group C2/m (No. 12)
Asymmetric unit:
Pa  0.157  0.000  0.000 x4
Co  0.000  0.000  0.500 x2
Te  0.000  0.235  0.000 x4
Te  0.250  0.250  0.500 x4

Summary:
* ΔE_f (raw): -0.589 eV per atom
* calculated density: 7.56 g/cm³
* magnetic moment: 0.211 μB per atom
* VASP energy: -6.112 eV per atom